Entry 1:
## Tb2PdF8 (GGA-PBE)

Data for an optimized crystal structure of Tb2PdF8.

Structure (POSCAR):
```
Tb2PdF8
1.0
7.7172 -1.8086 0.0000
7.7172 1.8086 0.0000
-1.8592 0.0000 5.0715
Tb Pd F
2 1 8
direct
0.1776 0.1776 0.1851
0.8224 0.8224 0.8149
0.5000 0.5000 0.5000
0.0490 0.0490 0.3316
0.2219 0.2219 0.8305
0.3158 0.3158 0.5421
0.4046 0.4046 0.0696
0.5954 0.5954 0.9304
0.6842 0.6842 0.4579
0.7781 0.7781 0.1695
0.9510 0.9510 0.6684
```

Output
The calculation puts the energy at -5.9324 eV per atom. The space group is C2/m, No. 12.


Entry 2:
## TbYErAg (GGA-PBE)

Data for an optimized crystal structure of TbYErAg.

Structure (POSCAR):
```
TbYErAg
1.0
3.5573 0.0000 0.0000
0.0000 3.5573 0.0000
0.0000 0.0000 8.8690
Tb Y Er Ag
1 1 1 1
direct
0.0000 0.0000 0.0000
0.5000 0.5000 0.7107
0.5000 0.5000 0.2836
0.0000 0.0000 0.4900
```

Output
The calculation puts the energy at -4.7621 eV per atom. The space group is P4mm, No. 99.


Entry 3:
## Sm6DyYTm2 (GGA-PBE)

Data for an optimized crystal structure of Sm6DyYTm2.

Structure (POSCAR):
```
Sm6DyYTm2
1.0
4.5762 -7.6027 0.0000
4.5762 7.6027 0.0000
-1.2133 0.0000 9.5106
Sm Dy Y Tm
12 2 2 4
direct
0.0147 0.5645 0.1854
0.1197 0.7583 0.5538
0.2417 0.8803 0.9462
0.2914 0.5062 0.3806
0.4355 0.9853 0.3146
0.4938 0.7086 0.1194
0.5062 0.2914 0.8806
0.5645 0.0147 0.6854
0.7086 0.4938 0.6194
0.7583 0.1197 0.0538
0.8803 0.2417 0.4462
0.9853 0.4355 0.8146
0.4098 0.5902 0.7500
0.5902 0.4098 0.2500
0.0263 0.9737 0.2500
0.9737 0.0263 0.7500
0.1991 0.3022 0.0451
0.3022 0.1991 0.5451
0.6978 0.8009 0.4549
0.8009 0.6978 0.9549
```

Output
The calculation puts the energy at -4.7156 eV per atom. The space group is C2/c, No. 15.


Entry 4:
## Sr3CaS (GGA-PBE)

Data for an optimized crystal structure of Sr3CaS.

Structure (POSCAR):
```
Sr3CaS
1.0
5.9857 0.0000 0.0000
0.0000 5.9857 0.0000
0.0000 0.0000 5.9857
Sr Ca S
3 1 1
direct
0.0000 0.0000 0.5000
0.0000 0.5000 0.0000
0.5000 0.0000 0.0000
0.5000 0.5000 0.5000
0.0000 0.0000 0.0000
```

Output
The value obtained for the distance to the lowest polymorph of the same formula is 0 meV per atom. The calculation puts the energy at -2.9820 eV per atom. The space group is Pm-3m, No. 221.